# 1
This record from Alexandria via LeMat-Bulk describes K2CaTc after structural relaxation. The functional is GGA-PBE.

abc: 4.799 4.799 12.628
angles: 90.00 90.00 90.00
Space group I4/mmm (No. 139)
Inequivalent atoms, fractional coordinates:
1 K 0.000 0.500 0.250 (multiplicity 4)
2 Ca 0.000 0.000 0.000 (multiplicity 2)
3 Tc 0.000 0.000 0.500 (multiplicity 2)

For the relative energy among the computed polymorphs, the calculation gives 291 meV per atom. Its formation energy is 1.101 eV/atom. The size of the total moment is 5.84 μB per cell.



# 2
This record from Alexandria via LeMat-Bulk describes PmTmIn4 after structural relaxation. The functional is GGA-PBE.

abc: 4.937 5.291 12.221
angles: 90.00 90.00 90.00
Space group Cmmm (No. 65)
Inequivalent atoms, fractional coordinates:
1 Pm 0.000 0.000 0.000 (multiplicity 2)
2 Tm 0.000 0.500 0.500 (multiplicity 2)
3 In 0.000 0.000 0.332 (multiplicity 4)
4 In 0.000 0.500 0.179 (multiplicity 4)

For the relative energy among the computed polymorphs, the calculation gives 109 meV per atom. Its formation energy is -0.270 eV/atom. The size of the total moment is 1.32 μB per cell.



# 3
This record from Alexandria via LeMat-Bulk describes Ni2RuBr after structural relaxation. The functional is GGA-PBE.

abc: 2.800 3.415 6.765
angles: 90.00 90.00 90.00
Space group Pmmm (No. 47)
Inequivalent atoms, fractional coordinates:
1 Ni 0.000 0.000 0.185 (multiplicity 2)
2 Ru 0.500 0.500 0.000 (multiplicity 1)
3 Br 0.500 0.000 0.500 (multiplicity 1)

For the relative energy among the computed polymorphs, the calculation gives 0 meV per atom. As for the uncorrected formation energy: 484 meV per atom. The size of the total moment is 0.02 μB per cell.



# 4
This record from Alexandria via LeMat-Bulk describes CsLi2HgCl after structural relaxation. The functional is GGA-PBE.

abc: 5.074 5.074 7.569
angles: 90.00 90.00 90.00
Space group P4/mmm (No. 123)
Inequivalent atoms, fractional coordinates:
1 Cs 0.000 0.000 0.000 (multiplicity 1)
2 Li 0.000 0.500 0.500 (multiplicity 2)
3 Hg 0.500 0.500 0.000 (multiplicity 1)
4 Cl 0.500 0.500 0.500 (multiplicity 1)

As for the uncorrected formation energy: -513 meV per atom. The size of the total moment is 0.00 μB per cell.



# 5
This record from Alexandria via LeMat-Bulk describes AcCoGe3 after structural relaxation. The functional is GGA-PBE.

abc: 4.445 4.445 10.030
angles: 90.00 90.00 90.00
Space group I4mm (No. 107)
Inequivalent atoms, fractional coordinates:
1 Ac 0.000 0.000 0.000 (multiplicity 2)
2 Co 0.000 0.000 0.339 (multiplicity 2)
3 Ge 0.000 0.000 0.574 (multiplicity 2)
4 Ge 0.000 0.500 0.246 (multiplicity 4)

Its formation energy is -0.558 eV/atom. The size of the total moment is 0.00 μB per cell.



# 6
This record from Alexandria via LeMat-Bulk describes Zr2N2O after structural relaxation. The functional is GGA-PBE.

abc: 5.496 7.086 9.873
angles: 103.39 90.01 90.20
Space group P1 (No. 1)
Inequivalent atoms, fractional coordinates:
1 Zr 0.000 0.000 0.000 (multiplicity 1)
2 Zr 0.003 0.003 0.667 (multiplicity 1)
3 Zr 0.023 0.020 0.337 (multiplicity 1)
4 Zr 0.413 0.739 0.790 (multiplicity 1)
5 Zr 0.420 0.738 0.123 (multiplicity 1)
6 Zr 0.428 0.741 0.457 (multiplicity 1)
7 Zr 0.479 0.289 0.548 (multiplicity 1)
8 Zr 0.482 0.286 0.213 (multiplicity 1)
9 Zr 0.515 0.271 0.879 (multiplicity 1)
10 Zr 0.913 0.541 0.756 (multiplicity 1)
11 Zr 0.916 0.545 0.092 (multiplicity 1)
12 Zr 0.927 0.550 0.424 (multiplicity 1)
13 N 0.142 0.700 0.949 (multiplicity 1)
14 N 0.143 0.702 0.617 (multiplicity 1)
15 N 0.149 0.712 0.287 (multiplicity 1)
16 N 0.240 0.369 0.394 (multiplicity 1)
17 N 0.255 0.030 0.839 (multiplicity 1)
18 N 0.261 0.025 0.165 (multiplicity 1)
19 N 0.264 0.026 0.509 (multiplicity 1)
20 N 0.644 0.577 0.929 (multiplicity 1)
21 N 0.644 0.582 0.595 (multiplicity 1)
22 N 0.646 0.579 0.265 (multiplicity 1)
23 N 0.756 0.252 0.706 (multiplicity 1)
24 N 0.759 0.253 0.045 (multiplicity 1)
25 O 0.266 0.395 0.733 (multiplicity 1)
26 O 0.270 0.400 0.067 (multiplicity 1)
27 O 0.741 0.247 0.375 (multiplicity 1)
28 O 0.761 0.890 0.815 (multiplicity 1)
29 O 0.772 0.884 0.150 (multiplicity 1)
30 O 0.777 0.889 0.478 (multiplicity 1)

As for the uncorrected formation energy: -2000 meV per atom. The size of the total moment is 0.00 μB per cell.



# 7
This record from Alexandria via LeMat-Bulk describes LaCu2SbCl after structural relaxation. The functional is GGA-PBE.

abc: 4.638 4.638 6.282
angles: 90.00 90.00 90.00
Space group P4/mmm (No. 123)
Inequivalent atoms, fractional coordinates:
1 La 0.000 0.000 0.000 (multiplicity 1)
2 Cu 0.000 0.500 0.500 (multiplicity 2)
3 Sb 0.500 0.500 0.500 (multiplicity 1)
4 Cl 0.500 0.500 0.000 (multiplicity 1)

As for the uncorrected formation energy: -44 meV per atom. The size of the total moment is 0.00 μB per cell.



# 8
This record from Alexandria via LeMat-Bulk describes P2AuS2 after structural relaxation. The functional is GGA-PBE.

abc: 10.416 3.259 7.790
angles: 90.00 107.49 90.00
Space group Cm (No. 8)
Inequivalent atoms, fractional coordinates:
1 P 0.000 0.000 0.000 (multiplicity 2)
2 P 0.091 0.000 0.774 (multiplicity 2)
3 Au 0.325 0.000 0.970 (multiplicity 2)
4 S 0.000 0.500 0.590 (multiplicity 2)
5 S 0.175 0.000 0.198 (multiplicity 2)

For the relative energy among the computed polymorphs, the calculation gives 0 meV per atom. As for the uncorrected formation energy: -21 meV per atom. The size of the total moment is 0.00 μB per cell.